Crystalline Mo2PdPt9 at its relaxed geometry. Source: Alexandria, functional PBE.

## Properties
- Spin magnetization: 1.10 μB/cell
- Uncorrected energy: -6.962 eV per atom
- Density of states at the Fermi level: 1.02 states/eV per atom
- Formation energy from the elements: -18.7 kJ per mole of atoms
- Space-group type: P4/mmm, No. 123

extended XYZ file:
```
12
Lattice="3.969 0.000 0.000 0.000 3.969 0.000 0.000 0.000 11.864" Properties=species:S:1:pos:R:3 pbc="T T T"
Mo 0.000 0.000 2.070
Mo 0.000 0.000 9.794
Pd 0.000 0.000 5.932
Pt 0.000 1.985 0.000
Pt 0.000 1.985 3.891
Pt 0.000 1.985 7.972
Pt 1.985 0.000 0.000
Pt 1.985 0.000 3.891
Pt 1.985 0.000 7.972
Pt 1.985 1.985 1.942
Pt 1.985 1.985 5.932
Pt 1.985 1.985 9.922
```